A relaxed SrLa4H10 crystal, computed with PBE-GGA. Values from VASP.

The calculation puts the total DFT energy (no corrections) at -4.2867 eV/atom. Its volume is 227.32 Å³/f.u. The space group is R-3m (166).

The structure in Quantum ESPRESSO input format:
```
&SYSTEM
  ibrav = 0, nat = 15, ntyp = 3
/
ATOMIC_SPECIES
Sr 87.62 Sr.upf
La 138.91 La.upf
H 1.01 H.upf
CELL_PARAMETERS angstrom
1.9985 1.1539 16.4292
-1.9985 1.1539 16.4292
0.0000 -2.3077 16.4292
ATOMIC_POSITIONS angstrom
Sr 0.0000 0.0000 0.0000
La 0.0000 0.0000 9.8394
La 0.0000 0.0000 19.7902
La 0.0000 0.0000 29.4973
La 0.0000 0.0000 39.4481
H 0.0000 0.0000 2.5632
H 0.0000 0.0000 7.4062
H 0.0000 0.0000 12.2889
H 0.0000 0.0000 17.3771
H 0.0000 0.0000 22.2346
H 0.0000 0.0000 27.0529
H 0.0000 0.0000 31.9104
H 0.0000 0.0000 36.9987
H 0.0000 0.0000 41.8813
H 0.0000 0.0000 46.7243
```